HoTm2Al3Si2Ir PBE-GGA optimized geometry; VASP energy = -52.29 eV per cell; ρ = 8.105 Mg/m³; space group = Amm2, No. 38
1.0
4.197 0.000 0.000
0.000 5.936 3.422
0.000 -5.936 3.422
Ho Tm Al Si Ir
1 2 3 2 1
Direct
0.000 0.000 0.000
0.000 0.167 0.583
0.000 0.583 0.167
0.500 0.349 0.349
0.500 0.583 0.817
0.500 0.817 0.583
0.500 0.251 0.916
0.500 0.916 0.251
0.000 0.581 0.581